[1]
# V5Hg3O12 PBE with a Hubbard U relaxed
data_V5Hg3O12
_chemical_formula_sum 'V40 Hg24 O96'
_symmetry_space_group_name_H-M 'I a -3 d'
_symmetry_Int_Tables_number 230
_symmetry_space_group_name_Hall '-I 4bd 2c 3'
_cell_length_a 12.907
_cell_length_b 12.907
_cell_length_c 12.907
_cell_angle_alpha 90.00
_cell_angle_beta 90.00
_cell_angle_gamma 90.00
loop_
_atom_site_label
_atom_site_type_symbol
_atom_site_fract_x
_atom_site_fract_y
_atom_site_fract_z
V1 V 0.000 0.000 0.000
V2 V 0.000 0.250 0.375
Hg1 Hg 0.000 0.250 0.125
O1 O 0.041 0.041 0.649
# DFT total energy in Ha/atom: -0.230
# Total moment in μB per formula unit: 6.196

=====

[2]
# V2HgO7 PBE with a Hubbard U relaxed
data_V2HgO7
_chemical_formula_sum 'V4 Hg2 O14'
_symmetry_space_group_name_H-M 'C m m m'
_symmetry_Int_Tables_number 65
_symmetry_space_group_name_Hall '-C 2 2'
_cell_length_a 6.138
_cell_length_b 9.915
_cell_length_c 3.646
_cell_angle_alpha 90.00
_cell_angle_beta 90.00
_cell_angle_gamma 90.00
loop_
_atom_site_label
_atom_site_type_symbol
_atom_site_fract_x
_atom_site_fract_y
_atom_site_fract_z
V1 V 0.000 0.197 0.000
Hg1 Hg 0.000 0.500 0.500
O1 O 0.000 0.000 0.000
O2 O 0.000 0.203 0.500
O3 O 0.192 0.362 0.000
# DFT total energy in Ha/atom: -0.219
# Total moment in μB per formula unit: 1.881

=====

[3]
# VHg2O4 PBE with a Hubbard U relaxed
data_VHg2O4
_chemical_formula_sum 'V2 Hg4 O8'
_symmetry_space_group_name_H-M 'I -4 2 m'
_symmetry_Int_Tables_number 121
_symmetry_space_group_name_Hall 'I -4 2'
_cell_length_a 6.133
_cell_length_b 6.133
_cell_length_c 6.083
_cell_angle_alpha 90.00
_cell_angle_beta 90.00
_cell_angle_gamma 90.00
loop_
_atom_site_label
_atom_site_type_symbol
_atom_site_fract_x
_atom_site_fract_y
_atom_site_fract_z
V1 V 0.000 0.000 0.000
Hg1 Hg 0.000 0.500 0.000
O1 O 0.168 0.168 0.836
# Total moment in μB per formula unit: 0.000
# Excess energy over the best structure of this formula in the dataset in meV/atom: 240.4

=====

[4]
# V2HgO6 PBE with a Hubbard U relaxed
data_V2HgO6
_chemical_formula_sum 'V8 Hg4 O24'
_symmetry_space_group_name_H-M 'C 1 2/c 1'
_symmetry_Int_Tables_number 15
_symmetry_space_group_name_Hall '-C 2yc'
_cell_length_a 9.502
_cell_length_b 15.362
_cell_length_c 3.639
_cell_angle_alpha 90.00
_cell_angle_beta 108.36
_cell_angle_gamma 90.00
loop_
_atom_site_label
_atom_site_type_symbol
_atom_site_fract_x
_atom_site_fract_y
_atom_site_fract_z
V1 V 0.135 0.126 0.111
Hg1 Hg 0.000 0.388 0.250
O1 O 0.089 0.096 0.574
O2 O 0.131 0.232 0.125
O3 O 0.177 0.408 0.740
# DFT total energy in Ha/atom: -0.236
# Total moment in μB per formula unit: 0.000

=====

[5]
# VHgO3 PBE with a Hubbard U relaxed
data_VHgO3
_chemical_formula_sum 'V2 Hg2 O6'
_symmetry_space_group_name_H-M 'P -1'
_symmetry_Int_Tables_number 2
_symmetry_space_group_name_Hall '-P 1'
_cell_length_a 3.668
_cell_length_b 5.547
_cell_length_c 8.502
_cell_angle_alpha 98.21
_cell_angle_beta 94.68
_cell_angle_gamma 100.78
loop_
_atom_site_label
_atom_site_type_symbol
_atom_site_fract_x
_atom_site_fract_y
_atom_site_fract_z
V1 V 0.190 0.388 0.356
Hg1 Hg 0.374 0.817 0.073
O1 O 0.097 0.083 0.319
O2 O 0.188 0.482 0.168
O3 O 0.275 0.528 0.590
# DFT total energy in Ha/atom: -0.217
# Total moment in μB per formula unit: 0.000

=====

[6]
# HgWO2 PBE with a Hubbard U relaxed
data_HgWO2
_chemical_formula_sum 'Hg3 W3 O6'
_symmetry_space_group_name_H-M 'R -3 m'
_symmetry_Int_Tables_number 166
_symmetry_space_group_name_Hall '-R 3 2"'
_cell_length_a 3.0663
_cell_length_b 3.0663
_cell_length_c 22.1163
_cell_angle_alpha 90.00
_cell_angle_beta 90.00
_cell_angle_gamma 120.00
loop_
_atom_site_label
_atom_site_type_symbol
_atom_site_fract_x
_atom_site_fract_y
_atom_site_fract_z
Hg1 Hg 0.0000 0.0000 0.0000
W1 W 0.0000 0.0000 0.5000
O1 O 0.0000 0.0000 0.4161
# DFT total energy in Ha/atom: -0.170
# Total moment in μB per formula unit: 0.000

=====

[7]
# HgWO3 PBE with a Hubbard U relaxed
data_HgWO3
_chemical_formula_sum 'Hg1 W1 O3'
_symmetry_space_group_name_H-M 'P m -3 m'
_symmetry_Int_Tables_number 221
_symmetry_space_group_name_Hall '-P 4 2 3'
_cell_length_a 3.989
_cell_length_b 3.989
_cell_length_c 3.989
_cell_angle_alpha 90.00
_cell_angle_beta 90.00
_cell_angle_gamma 90.00
loop_
_atom_site_label
_atom_site_type_symbol
_atom_site_fract_x
_atom_site_fract_y
_atom_site_fract_z
Hg1 Hg 0.000 0.000 0.000
W1 W 0.500 0.500 0.500
O1 O 0.000 0.500 0.500
# DFT total energy in Ha/atom: -0.206
# Total moment in μB per formula unit: 0.000

=====

[8]
# HgWO2 PBE with a Hubbard U relaxed
data_HgWO2
_chemical_formula_sum 'Hg3 W3 O6'
_symmetry_space_group_name_H-M 'R -3 m'
_symmetry_Int_Tables_number 166
_symmetry_space_group_name_Hall '-R 3 2"'
_cell_length_a 3.2087
_cell_length_b 3.2087
_cell_length_c 24.1727
_cell_angle_alpha 90.00
_cell_angle_beta 90.00
_cell_angle_gamma 120.00
loop_
_atom_site_label
_atom_site_type_symbol
_atom_site_fract_x
_atom_site_fract_y
_atom_site_fract_z
Hg1 Hg 0.0000 0.0000 0.0000
W1 W 0.0000 0.0000 0.5000
O1 O 0.0000 0.0000 0.1253
# DFT total energy in Ha/atom: -0.206
# Total moment in μB per formula unit: 2.000

=====

[9]
# HgWO2 PBE with a Hubbard U relaxed
data_HgWO2
_chemical_formula_sum 'Hg4 W4 O8'
_symmetry_space_group_name_H-M 'I 41/a m d'
_symmetry_Int_Tables_number 141
_cell_length_a 6.394
_cell_length_b 6.394
_cell_length_c 9.060
_cell_angle_alpha 90.00
_cell_angle_beta 90.00
_cell_angle_gamma 90.00
loop_
_symmetry_equiv_pos_as_xyz
'x,y,z'
'-x,-y,-z'
'-y+1/4,x+3/4,z+1/4'
'y+1/4,-x+3/4,-z+1/4'
'-x+1/2,-y,z+1/2'
'x+1/2,y,-z+1/2'
'y+1/4,-x+1/4,z+3/4'
'-y+1/4,x+1/4,-z+3/4'
'x,-y,-z'
'-x,y,z'
'-y+1/4,-x+1/4,-z+3/4'
'y+1/4,x+1/4,z+3/4'
'-x+1/2,y,-z+1/2'
'x+1/2,-y,z+1/2'
'y+1/4,x+3/4,-z+1/4'
'-y+1/4,-x+3/4,z+1/4'
'x+1/2,y+1/2,z+1/2'
'-x+1/2,-y+1/2,-z+1/2'
'-y+3/4,x+1/4,z+3/4'
'y+3/4,-x+1/4,-z+3/4'
'-x,-y+1/2,z'
'x,y+1/2,-z'
'y+3/4,-x+3/4,z+1/4'
'-y+3/4,x+3/4,-z+1/4'
'x+1/2,-y+1/2,-z+1/2'
'-x+1/2,y+1/2,z+1/2'
'-y+3/4,-x+3/4,-z+1/4'
'y+3/4,x+3/4,z+1/4'
'-x,y+1/2,-z'
'x,-y+1/2,z'
'y+3/4,x+1/4,-z+3/4'
'-y+3/4,-x+1/4,z+3/4'
loop_
_atom_site_label
_atom_site_type_symbol
_atom_site_fract_x
_atom_site_fract_y
_atom_site_fract_z
Hg1 Hg 0.000 0.250 0.375
W1 W 0.000 0.250 0.875
O1 O 0.000 0.000 0.000
# DFT total energy in Ha/atom: -0.198
# Total moment in μB per formula unit: 2.000